Entry 1:
The following is a DFT calculation (PBE-GGA) of a relaxed structure of Cs2LiNbNi.

Geometry as extended XYZ:
```
5
Lattice="6.3510 0.0000 0.0000 0.0000 6.3510 0.0000 0.0000 0.0000 4.2932" Properties=species:S:1:pos:R:3 pbc="T T T"
Cs 0.0000 3.1755 0.0000
Cs 3.1755 0.0000 0.0000
Li 0.0000 0.0000 0.0000
Nb 3.1755 3.1755 2.1466
Ni 0.0000 0.0000 2.1466
```

- density of states at the Fermi level (states/eV/atom) = 1.15
- magnetization (μB per formula unit) = 4.95
- calculated formation energy (meV per atom) = 1460
- V (Å³/cell) = 173


Entry 2:
The following is a DFT calculation (PBE-GGA) of a relaxed structure of CsLi2NbPb.

Geometry as extended XYZ:
```
5
Lattice="5.3918 0.0000 0.0000 0.0000 5.3918 0.0000 0.0000 0.0000 5.5310" Properties=species:S:1:pos:R:3 pbc="T T T"
Cs 0.0000 0.0000 0.0000
Li 0.0000 2.6959 2.7655
Li 2.6959 0.0000 2.7655
Nb 2.6959 2.6959 0.0000
Pb 2.6959 2.6959 2.7655
```

- density of states at the Fermi level (states/eV/atom) = 0.38
- magnetization (μB per formula unit) = 3.81
- calculated formation energy (meV per atom) = 587
- V (Å³/cell) = 161


Entry 3:
The following is a DFT calculation (PBE-GGA) of a relaxed structure of CsLiNbRh2.

Geometry as extended XYZ:
```
5
Lattice="4.9649 0.0000 0.0000 0.0000 4.9649 0.0000 0.0000 0.0000 5.1678" Properties=species:S:1:pos:R:3 pbc="T T T"
Cs 0.0000 0.0000 0.0000
Li 2.4824 2.4824 2.5839
Nb 0.0000 0.0000 2.5839
Rh 0.0000 2.4824 0.0000
Rh 2.4824 0.0000 0.0000
```

- density of states at the Fermi level (states/eV/atom) = 1.10
- magnetization (μB per formula unit) = 2.08
- calculated formation energy (meV per atom) = 2119
- V (Å³/cell) = 127


Entry 4:
The following is a DFT calculation (PBE-GGA) of a relaxed structure of Cs2LiNbS4.

Geometry as extended XYZ:
```
16
Lattice="7.0240 0.0000 0.0000 -0.0333 7.4800 0.0000 -0.5405 -1.2916 9.9226" Properties=species:S:1:pos:R:3 pbc="T T T"
Cs 0.9022 1.3012 1.5318
Cs 1.7813 5.0180 5.0843
Cs 4.6689 1.1704 4.8382
Cs 5.5480 4.8873 8.3908
Li 2.7433 4.8926 0.7586
Li 3.7070 1.2959 9.1640
Nb 1.1170 1.2643 7.4392
Nb 5.3333 4.9242 2.4834
S 0.4703 5.0193 1.7163
S 1.1425 1.2711 5.1567
S 2.2417 3.1295 8.2303
S 2.2794 -0.5315 8.2336
S 4.1708 6.7200 1.6890
S 4.2085 3.0589 1.6923
S 5.3077 4.9174 4.7658
S 5.9799 1.1692 8.2063
```

- density of states at the Fermi level (states/eV/atom) = 0.00
- formation energy (no corrections) (eV per formula unit) = -10.098
- magnetization (μB per formula unit) = 0.00
- energy above the most stable polymorph in this dataset (eV per atom) = 0.000
- V (Å³/cell) = 521